Entry 1:
{"formula": "PrGdSiAg", "functional": "PBE", "state": "optimized geometry", "space_group": "F-43m (216)", "m_tot_mub_per_cell": 7.8, "density_kg_m3": 7333, "raw_formation_energy_ev_per_atom": -0.43, "e_tot_ev_per_atom": -7.211, "lattice_angstrom": [[5.180, 0.000, 0.000], [2.590, 4.486, 0.000], [2.590, 1.495, 4.230]], "species": ["Pr", "Gd", "Ag", "Si"], "frac_coords": [[0.500, 0.500, 0.500], [0.000, 0.000, 0.000], [0.250, 0.250, 0.250], [0.750, 0.750, 0.750]]}

Entry 2:
{"formula": "Ca2AlAg2", "functional": "PBE", "state": "optimized geometry", "space_group": "C2/m (12)", "relative_energy_ev_per_atom": 0.027, "m_tot_mub_per_cell": 0.0, "formation_energy_ev_per_atom": -0.3029, "density_kg_m3": 4301, "e_tot_ev_per_atom": -2.993, "lattice_angstrom": [[4.426, 0.000, 0.000], [2.213, 5.745, -0.076], [2.213, 0.730, 9.796]], "species": ["Ag", "Ca", "Al", "Al", "Ca", "Ag", "Ca", "Ag", "Ca", "Ag"], "frac_coords": [[0.989, 0.145, 0.876], [0.689, 0.731, 0.890], [0.781, 0.074, 0.364], [0.219, 0.926, 0.636], [0.501, 0.667, 0.331], [0.857, 0.722, 0.565], [0.499, 0.333, 0.669], [0.011, 0.855, 0.124], [0.311, 0.269, 0.110], [0.143, 0.278, 0.435]]}

Entry 3:
{"formula": "CaAs2HSe", "functional": "PBE", "state": "optimized geometry", "space_group": "P4/mmm (123)", "relative_energy_ev_per_atom": 0.000, "m_tot_mub_per_cell": 0.0, "density_kg_m3": 4642, "e_tot_ev_per_atom": -3.827, "lattice_angstrom": [[-0.267, 3.043, 2.657], [-3.842, -1.014, 0.775], [1.815, -3.594, 4.297]], "species": ["As", "Se", "Ca", "H", "As"], "frac_coords": [[0.000, 0.500, 0.000], [0.000, 0.000, 0.500], [0.500, 0.500, 0.500], [0.000, 0.000, 0.000], [0.500, 0.000, 0.000]]}

Entry 4:
{"formula": "K2NbAgS4", "functional": "PBE", "state": "optimized geometry", "space_group": "Fddd (70)", "relative_energy_ev_per_atom": 0.031, "m_tot_mub_per_cell": 0.0, "density_kg_m3": 2882, "raw_formation_energy_ev_per_atom": -0.97, "e_tot_ev_per_atom": -4.927, "lattice_angstrom": [[5.879, 0.000, 0.000], [2.939, 6.715, 0.000], [2.939, 0.000, 11.886]], "species": ["Ag", "Nb", "S", "S", "Ag", "K", "S", "Nb", "S", "S", "K", "S", "S", "S", "K", "K"], "frac_coords": [[0.000, 0.000, 0.000], [0.250, 0.500, 0.500], [0.560, 0.206, 0.112], [0.422, 0.706, 0.388], [0.750, 0.500, 0.500], [0.820, 0.000, 0.360], [0.234, 0.206, 0.888], [0.500, 0.000, 0.000], [0.328, 0.794, 0.112], [0.516, 0.294, 0.612], [0.930, 0.500, 0.140], [0.878, 0.794, 0.888], [0.872, 0.706, 0.612], [0.190, 0.294, 0.388], [0.570, 0.500, 0.860], [0.180, 0.000, 0.640]]}

Entry 5:
{"formula": "Nb2HPtRh", "functional": "PBE", "state": "optimized geometry", "space_group": "P4/mmm (123)", "relative_energy_ev_per_atom": 0.067, "m_tot_mub_per_cell": 0.0, "density_kg_m3": 11973, "e_tot_ev_per_atom": -7.779, "lattice_angstrom": [[-3.309, -1.972, -1.302], [2.284, -2.096, -2.630], [0.605, -2.873, 2.815]], "species": ["Pt", "Rh", "H", "Nb", "Nb"], "frac_coords": [[0.000, 0.000, 0.500], [0.500, 0.500, 0.500], [0.000, 0.000, 0.000], [0.500, 0.000, 0.000], [0.000, 0.500, 0.000]]}

Entry 6:
{"formula": "Pm5Dy5Tm2", "functional": "PBE", "state": "optimized geometry", "space_group": "C2/m (12)", "m_tot_mub_per_cell": 0.0, "formation_energy_ev_per_atom": 0.0178, "density_kg_m3": 8019, "e_tot_ev_per_atom": -4.624, "lattice_angstrom": [[4.941, 0.000, 1.056], [2.179, 7.457, 1.890], [0.292, 0.615, 10.721]], "species": ["Dy", "Pm", "Dy", "Dy", "Pm", "Tm", "Dy", "Tm", "Pm", "Pm", "Pm", "Dy"], "frac_coords": [[0.000, 0.000, 0.000], [0.417, 0.916, 0.250], [0.252, 0.749, 0.748], [0.833, 0.834, 0.501], [0.583, 0.084, 0.750], [0.084, 0.582, 0.251], [0.167, 0.166, 0.499], [0.916, 0.418, 0.749], [0.334, 0.333, 0.000], [0.500, 0.500, 0.500], [0.666, 0.667, 0.000], [0.748, 0.251, 0.252]]}

| no. | V (Å³ per cell) | DOS at the Fermi energy (states/eV/f.u.) |
| --- | --- | --- |
| 1 | 98.3 | 3.708 |
| 2 | 249.3 | 2.844 |
| 3 | 96.5 | 3.469 |
| 4 | 469.2 | 0.000 |
| 5 | 67.2 | 2.874 |
| 6 | 388.4 | 17.460 |